Entry 1:
VASP calculation (PBE-GGA) on Mn2TlBr after structural relaxation.

Cell and atoms, written as POSCAR:
```
Mn2TlBr
1.0
-3.5608 1.6887 -3.2319
-2.6545 -1.4489 4.1024
0.3004 3.1019 1.2899
Br Mn Tl
1 2 1
direct
0.0000 0.5000 0.5000
0.0000 0.0000 0.0000
0.5000 0.5000 0.0000
0.5000 0.0000 0.5000
```

## Properties
E_form (uncorrected) in eV/atom: 0.517
Calculated volume in Å³ per cell: 85
Total magnetic moment in μB per atom: 2.1216
Density of states at the Fermi level in states/eV/cell: 3.04
SG: Cmmm (65)



Entry 2:
VASP calculation (PBE-GGA) on MnTlBr6 after structural relaxation.

Cell and atoms, written as POSCAR:
```
MnTlBr6
1.0
-0.5399 -0.8988 7.9382
-4.7208 -3.6363 3.3274
1.1949 -6.7205 1.3504
Mn Tl Br
1 1 6
direct
0.0000 0.0000 0.0000
0.5000 0.0000 0.0000
0.2138 0.8482 0.2940
0.2138 0.1422 0.7060
0.7862 0.8578 0.2940
0.7862 0.1518 0.7060
0.2195 0.5538 0.0000
0.7805 0.4462 0.0000
```

## Properties
E_form (uncorrected) in eV/atom: -0.483
Calculated volume in Å³ per cell: 268
Total magnetic moment in μB per atom: 0.3224
Density of states at the Fermi level in states/eV/cell: 2.69
SG: C2/m (12)



Entry 3:
VASP calculation (PBE-GGA) on Mn2TlBr after structural relaxation.

Cell and atoms, written as POSCAR:
```
Mn2TlBr
1.0
-5.6934 -0.7707 -3.1671
4.6551 -0.1628 -2.2984
0.1284 -3.2548 -0.9678
Br Mn Tl
1 2 1
direct
0.5000 0.5000 0.0000
0.0000 0.0000 0.0000
0.5000 0.0000 0.5000
0.0000 0.5000 0.5000
```

## Properties
E_form (uncorrected) in eV/atom: 0.504
Calculated volume in Å³ per cell: 86
Total magnetic moment in μB per atom: 2.0530
Density of states at the Fermi level in states/eV/cell: 2.89
SG: C2/m (12)



Entry 4:
VASP calculation (PBE-GGA) on Mn2TlBr5 after structural relaxation.

Cell and atoms, written as POSCAR:
```
Mn2TlBr5
1.0
-4.9239 0.0559 2.6416
6.2256 -2.8341 5.7540
2.2632 12.9784 3.9438
Mn Tl Br
4 2 10
direct
0.2157 0.4313 0.5956
0.7843 0.5687 0.4044
0.7843 0.5687 0.0956
0.2157 0.4313 0.9044
0.9370 0.8740 0.7500
0.0630 0.1260 0.2500
0.6954 0.3907 0.2500
0.3046 0.6093 0.7500
0.2622 0.5245 0.0822
0.7378 0.4755 0.9178
0.7378 0.4755 0.5822
0.2622 0.5245 0.4178
0.0730 0.1461 0.6001
0.9270 0.8539 0.3999
0.0730 0.1461 0.8999
0.9270 0.8539 0.1001
```

## Properties
E_form (uncorrected) in eV/atom: -0.725
Calculated volume in Å³ per cell: 652
Total magnetic moment in μB per atom: 1.2500
Density of states at the Fermi level in states/eV/cell: 0.00
SG: Cmcm (63)